Computed, not measured: a relaxed HgBAsO crystal at the PBE-GGA level of DFT.

Cell lengths 4.004, 4.004, 8.316 Å; angles 90.00, 90.00, 90.00 degrees
Space group P4/nmm (No. 129, origin choice 2)
Inequivalent atoms, fractional coordinates:
Hg 0.250 0.250 0.124 x2
B 0.250 0.750 0.500 x2
As 0.250 0.250 0.619 x2
O 0.250 0.750 0.000 x2

The distance to the lowest polymorph of the same formula comes out at 1.2761 eV/atom. The value obtained for the total energy is -0.2619 Ry/atom.